A plane-wave DFT calculation with PBE was carried out for crystalline Cu2AuBr at its relaxed geometry.

a = 4.151 Å, b = 4.151 Å, c = 5.505 Å
α = 98.21°, β = 98.21°, γ = 61.84°
Fractional coordinates of all 4 atoms:
Au  0.464  0.464  0.619
Cu  0.823  0.823  0.831
Cu  0.160  0.160  0.821
Br  0.053  0.053  0.230

## Properties
**Energy above the most stable polymorph in this dataset**: 0.097 eV per atom

A plane-wave DFT calculation with PBE was carried out for crystalline Dy2Cu3Si2 at its relaxed geometry.

a = 4.039 Å, b = 5.462 Å, c = 6.384 Å
α = 111.95°, β = 90.00°, γ = 111.70°
Fractional coordinates of all 7 atoms:
Cu  0.395  0.790  0.576
Cu  0.500  0.000  0.000
Cu  0.605  0.210  0.424
Dy  0.850  0.700  0.240
Dy  0.150  0.300  0.760
Si  0.861  0.722  0.768
Si  0.139  0.278  0.232

## Properties
**E**: -5.105 eV per atom

A plane-wave DFT calculation with PBE was carried out for crystalline Hf3Zr2N4 at its relaxed geometry.

a = 3.220 Å, b = 5.576 Å, c = 7.271 Å
α = 75.16°, β = 77.21°, γ = 73.22°
Fractional coordinates of all 9 atoms:
Hf  0.203  0.397  0.197
Hf  0.000  0.000  0.000
Hf  0.797  0.603  0.803
Zr  0.606  0.187  0.602
Zr  0.394  0.813  0.398
N  0.396  0.300  0.909
N  0.800  0.110  0.290
N  0.200  0.890  0.710
N  0.604  0.700  0.091

## Properties
**E**: -10.500 eV per atom

A plane-wave DFT calculation with PBE was carried out for crystalline PSeCl4 at its relaxed geometry.

a = 5.828 Å, b = 5.828 Å, c = 5.828 Å
α = 60.00°, β = 60.00°, γ = 60.00°
Fractional coordinates of all 6 atoms:
Cl  0.875  0.375  0.375
Cl  0.375  0.375  0.375
Cl  0.375  0.875  0.375
Cl  0.375  0.375  0.875
Se  0.000  0.000  0.000
P  0.750  0.750  0.750

## Properties
**E**: -1.534 eV per atom

| no. | M_tot (Bohr magnetons per cell) |
| --- | --- |
| 1 | 0.00 |
| 2 | 0.00 |
| 3 | 0.00 |
| 4 | 1.30 |